# 1
VASP calculation (PBE) on crystalline InPF3 at its relaxed geometry.

SG: Pm-3m
formation energy (no corrections): -1197 meV per atom
energy above the most stable polymorph in this dataset: 91 kJ/mol of formula units

a = 4.3508 Å, b = 4.3508 Å, c = 4.3508 Å
α = 90.00°, β = 90.00°, γ = 90.00°
With the nearest neighbours (Å) after each atom.
Atoms (fractional coordinates):
In1 0.0000 0.0000 0.0000  12 F 3.08
P1 0.5000 0.5000 0.5000  6 F 2.18
F1 0.0000 0.5000 0.5000  2 P 2.18
F2 0.5000 0.0000 0.5000  2 P 2.18
F3 0.5000 0.5000 0.0000  2 P 2.18



# 2
VASP calculation (PBE) on crystalline Ce2InGe2Rh5 at its relaxed geometry.

SG: P4/mbm
formation enthalpy at 0 K: -0.695 eV per atom

a = 9.9485 Å, b = 9.9485 Å, c = 3.6632 Å
α = 90.00°, β = 90.00°, γ = 90.00°
With the nearest neighbours (Å) after each atom.
Atoms (fractional coordinates):
Ce1 0.1763 0.3237 0.0000  3 Ge 2.84-3.02, 6 Rh 3.08-3.15
Ce2 0.3237 0.8237 0.0000  3 Ge 2.84-3.02, 6 Rh 3.08-3.15
Ce3 0.6763 0.1763 0.0000  3 Ge 2.84-3.02, 6 Rh 3.08-3.15
Ce4 0.8237 0.6763 0.0000  3 Ge 2.84-3.02, 6 Rh 3.08-3.15
In1 0.0000 0.0000 0.0000  8 Rh 2.89
In2 0.5000 0.5000 0.0000  8 Rh 2.89
Ge1 0.1220 0.6220 0.0000  6 Rh 2.51
Ge2 0.3780 0.1220 0.0000  6 Rh 2.51
Ge3 0.6220 0.8780 0.0000  6 Rh 2.51
Ge4 0.8780 0.3780 0.0000  6 Rh 2.51
Rh1 0.0000 0.5000 0.5000  4 Ge 2.51
Rh2 0.0688 0.7856 0.5000  2 Ge 2.51
Rh3 0.2144 0.0688 0.5000  2 Ge 2.51
Rh4 0.2856 0.5688 0.5000  2 Ge 2.51
Rh5 0.4312 0.2856 0.5000  2 Ge 2.51
Rh6 0.5000 0.0000 0.5000  4 Ge 2.51
Rh7 0.5688 0.7144 0.5000  2 Ge 2.51
Rh8 0.7144 0.4312 0.5000  2 Ge 2.51
Rh9 0.7856 0.9312 0.5000  2 Ge 2.51
Rh10 0.9312 0.2144 0.5000  2 Ge 2.51



# 3
VASP calculation (PBE) on crystalline La8PrEr6 at its relaxed geometry.

SG: P-3
formation enthalpy at 0 K: 0.171 eV per atom

a = 9.4848 Å, b = 9.4848 Å, c = 6.6333 Å
α = 90.00°, β = 90.00°, γ = 120.00°
With the nearest neighbours (Å) after each atom.
Atoms (fractional coordinates):
La1 0.0485 0.7549 0.1727  3 La 3.22-3.46, 1 Pr 3.38, 3 Er 3.41-3.60
La2 0.2451 0.2936 0.1727  3 La 3.22-3.46, 1 Pr 3.38, 3 Er 3.41-3.60
La3 0.2936 0.0485 0.8273  3 La 3.22-3.46, 1 Pr 3.38, 3 Er 3.41-3.60
La4 0.3333 0.6667 0.1249  3 La 3.22
La5 0.6667 0.3333 0.8751  3 La 3.22
La6 0.7064 0.9515 0.1727  3 La 3.22-3.46, 1 Pr 3.38, 3 Er 3.41-3.60
La7 0.7549 0.7064 0.8273  3 La 3.22-3.46, 1 Pr 3.38, 3 Er 3.41-3.60
La8 0.9515 0.2451 0.8273  3 La 3.22-3.46, 1 Pr 3.38, 3 Er 3.41-3.60
Pr1 0.0000 0.0000 0.5000  6 La 3.38
Er1 0.1011 0.6567 0.6582  3 Er 3.35-3.74, 5 La 3.41-3.72
Er2 0.3433 0.4444 0.6582  3 Er 3.35-3.74, 5 La 3.41-3.72
Er3 0.4444 0.1011 0.3418  3 Er 3.35-3.74, 5 La 3.41-3.72
Er4 0.5556 0.8989 0.6582  3 Er 3.35-3.74, 5 La 3.41-3.72
Er5 0.6567 0.5556 0.3418  3 Er 3.35-3.74, 5 La 3.41-3.72
Er6 0.8989 0.3433 0.3418  3 Er 3.35-3.74, 5 La 3.41-3.72



# 4
VASP calculation (PBE) on crystalline BiF4 at its relaxed geometry.

SG: I4/mmm
formation energy (no corrections): -1980 meV per atom
energy above the most stable polymorph in this dataset: 20 kJ/mol of formula units

a = 6.7704 Å, b = 6.7704 Å, c = 6.7704 Å
α = 132.86°, β = 132.86°, γ = 68.88°
With the nearest neighbours (Å) after each atom.
Atoms (fractional coordinates):
Bi1 0.0000 0.0000 0.0000  8 F 2.18
Bi2 0.5000 0.5000 0.0000  8 F 2.37
F1 0.1254 0.1254 0.4702  2 Bi 2.18-2.37
F2 0.1254 0.6552 0.0000  2 Bi 2.18-2.37
F3 0.3448 0.3448 0.4702  2 Bi 2.18-2.37
F4 0.3448 0.8746 0.0000  2 Bi 2.18-2.37
F5 0.6552 0.1254 0.0000  2 Bi 2.18-2.37
F6 0.6552 0.6552 0.5298  2 Bi 2.18-2.37
F7 0.8746 0.3448 0.0000  2 Bi 2.18-2.37
F8 0.8746 0.8746 0.5298  2 Bi 2.18-2.37



# 5
VASP calculation (PBE) on crystalline Rb2SrH6Os at its relaxed geometry.

final energy: -37.6 eV/cell
SG: P-3m1

a = 6.2885 Å, b = 6.2885 Å, c = 5.9647 Å
α = 90.00°, β = 90.00°, γ = 120.00°
With the nearest neighbours (Å) after each atom.
Atoms (fractional coordinates):
Rb1 0.3333 0.6667 0.1182  3 H 2.76
Rb2 0.6667 0.3333 0.8818  3 H 2.76
Sr1 0.0000 0.0000 0.5000  6 H 2.47
H1 0.1331 0.2663 0.8344  1 Os 1.75
H2 0.1331 0.8669 0.8344  1 Os 1.75
H3 0.2663 0.1331 0.1656  1 Os 1.75
H4 0.7337 0.8669 0.8344  1 Os 1.75
H5 0.8669 0.1331 0.1656  1 Os 1.75
H6 0.8669 0.7337 0.1656  1 Os 1.75
Os1 0.0000 0.0000 0.0000  6 H 1.75



# 6
VASP calculation (PBE) on crystalline NdTh3Bi4 at its relaxed geometry.

SG: Cmmm
formation enthalpy at 0 K: -0.662 eV per atom

a = 9.2129 Å, b = 13.0064 Å, c = 4.5922 Å
α = 90.00°, β = 90.00°, γ = 90.00°
With the nearest neighbours (Å) after each atom.
Atoms (fractional coordinates):
Nd1 0.0000 0.0000 0.0000  6 Bi 3.25
Nd2 0.5000 0.5000 0.0000  6 Bi 3.25
Th1 0.0000 0.5000 0.0000  6 Bi 3.25
Th2 0.2500 0.2500 0.5000  6 Bi 3.25
Th3 0.2500 0.7500 0.5000  6 Bi 3.25
Th4 0.5000 0.0000 0.0000  6 Bi 3.25
Th5 0.7500 0.2500 0.5000  6 Bi 3.25
Th6 0.7500 0.7500 0.5000  6 Bi 3.25
Bi1 0.0000 0.2498 0.0000  1 Nd 3.25, 5 Th 3.25
Bi2 0.0000 0.7502 0.0000  1 Nd 3.25, 5 Th 3.25
Bi3 0.2500 0.0000 0.5000  4 Th 3.25, 2 Nd 3.25
Bi4 0.2500 0.5000 0.5000  4 Th 3.25, 2 Nd 3.25
Bi5 0.5000 0.2502 0.0000  1 Nd 3.25, 5 Th 3.25
Bi6 0.5000 0.7498 0.0000  1 Nd 3.25, 5 Th 3.25
Bi7 0.7500 0.0000 0.5000  4 Th 3.25, 2 Nd 3.25
Bi8 0.7500 0.5000 0.5000  4 Th 3.25, 2 Nd 3.25



# 7
VASP calculation (PBE) on crystalline Pr2NdHg at its relaxed geometry.

SG: Fm-3m
formation enthalpy at 0 K: -0.065 eV per atom
energy above the most stable polymorph in this dataset: 63 kJ/mol of formula units

a = 7.9209 Å, b = 7.9209 Å, c = 7.9209 Å
α = 90.00°, β = 90.00°, γ = 90.00°
With the nearest neighbours (Å) after each atom.
Atoms (fractional coordinates):
Pr1 0.2500 0.2500 0.2500  4 Hg 3.43, 4 Nd 3.43
Pr2 0.2500 0.2500 0.7500  4 Hg 3.43, 4 Nd 3.43
Pr3 0.2500 0.7500 0.2500  4 Hg 3.43, 4 Nd 3.43
Pr4 0.2500 0.7500 0.7500  4 Hg 3.43, 4 Nd 3.43
Pr5 0.7500 0.2500 0.2500  4 Hg 3.43, 4 Nd 3.43
Pr6 0.7500 0.2500 0.7500  4 Hg 3.43, 4 Nd 3.43
Pr7 0.7500 0.7500 0.2500  4 Hg 3.43, 4 Nd 3.43
Pr8 0.7500 0.7500 0.7500  4 Hg 3.43, 4 Nd 3.43
Nd1 0.0000 0.0000 0.0000  8 Pr 3.43
Nd2 0.0000 0.5000 0.5000  8 Pr 3.43
Nd3 0.5000 0.0000 0.5000  8 Pr 3.43
Nd4 0.5000 0.5000 0.0000  8 Pr 3.43
Hg1 0.0000 0.0000 0.5000  8 Pr 3.43
Hg2 0.0000 0.5000 0.0000  8 Pr 3.43
Hg3 0.5000 0.0000 0.0000  8 Pr 3.43
Hg4 0.5000 0.5000 0.5000  8 Pr 3.43



# 8
VASP calculation (PBE) on crystalline Cs2MgInI6 at its relaxed geometry.

SG: I4/mmm
formation energy (no corrections): -1043 meV per atom

a = 8.5664 Å, b = 8.5664 Å, c = 8.5664 Å
α = 120.04°, β = 120.04°, γ = 89.93°
With the nearest neighbours (Å) after each atom.
Atoms (fractional coordinates):
Cs1 0.2500 0.7500 0.5000  12 I 4.28
Cs2 0.7500 0.2500 0.5000  12 I 4.28
Mg1 0.0000 0.0000 0.0000  6 I 2.95-2.96
In1 0.5000 0.5000 0.0000  6 I 3.10-3.11
I1 0.2438 0.2438 0.0000  1 Mg 2.96, 1 In 3.11
I2 0.2438 0.2438 0.4875  1 Mg 2.95, 1 In 3.10
I3 0.2438 0.7562 0.0000  1 Mg 2.95, 1 In 3.10
I4 0.7562 0.2438 0.0000  1 Mg 2.95, 1 In 3.10
I5 0.7562 0.7562 0.0000  1 Mg 2.96, 1 In 3.11
I6 0.7562 0.7562 0.5125  1 Mg 2.95, 1 In 3.10